--- w ---
Computed, not measured: crystalline Cd2CoCl at its relaxed geometry at the PBE level of DFT.

Output
**Magnetization**: 1.44 μB/f.u.
**Volume**: 21.2 A^3/atom
**Space-group type**: Pm, No. 6

Cell: 4.311 3.084 6.721 Å, 90.00 108.51 90.00°
Atoms (fractional coordinates):
Cd 0.000 0.000 0.000
Cd 0.349 0.500 0.700
Co 0.556 0.500 0.112
Cl 0.689 0.000 0.382

***

--- x ---
Computed, not measured: crystalline Cd2CoCl at its relaxed geometry at the PBE level of DFT.

Output
**Magnetization**: 1.39 μB/f.u.
**Volume**: 20.0 A^3/atom
**Space-group type**: F-43m, No. 216

Cell: 4.837 4.837 4.837 Å, 60.00 60.00 60.00°
Atoms (fractional coordinates):
Cd 0.000 0.000 0.000
Cd 0.250 0.250 0.250
Co 0.500 0.500 0.500
Cl 0.750 0.750 0.750

***

--- y ---
Computed, not measured: crystalline Cd2CoCl at its relaxed geometry at the PBE level of DFT.

Output
**Magnetization**: 2.07 μB/f.u.
**Volume**: 20.6 A^3/atom
**Space-group type**: Cmm2, No. 35

Cell: 3.160 3.160 9.617 Å, 90.00 90.00 120.82°
Atoms (fractional coordinates):
Cd 0.000 0.000 0.000
Cd 0.500 0.500 0.282
Co 0.500 0.500 0.772
Cl 0.000 0.000 0.605

***

--- z ---
Computed, not measured: crystalline Cd2CoCl at its relaxed geometry at the PBE level of DFT.

Output
**Magnetization**: 1.73 μB/f.u.
**Volume**: 20.1 A^3/atom
**Space-group type**: I-4m2, No. 119

Cell: 5.845 5.845 5.845 Å, 140.37 140.37 57.30°
Atoms (fractional coordinates):
Cd 0.000 0.000 0.000
Cd 0.750 0.250 0.500
Co 0.500 0.500 0.000
Cl 0.250 0.750 0.500

***

It is w that is most stable; the runner-up trails by 64 meV/atom.

***

--- w ---
Computed, not measured: crystalline CdCo2Cl at its relaxed geometry at the PBE level of DFT.

Output
**Magnetization**: 3.77 μB/f.u.
**Volume**: 16.1 A^3/atom
**Space-group type**: P2/m, No. 10

Cell: 4.564 2.951 5.077 Å, 90.00 109.86 90.00°
Atoms (fractional coordinates):
Cd 0.000 0.000 0.000
Co 0.500 0.000 0.500
Co 0.500 0.500 0.000
Cl 0.000 0.500 0.500

***

--- x ---
Computed, not measured: crystalline CdCo2Cl at its relaxed geometry at the PBE level of DFT.

Output
**Magnetization**: 3.82 μB/f.u.
**Volume**: 16.0 A^3/atom
**Space-group type**: Cmmm, No. 65

Cell: 4.816 4.816 2.907 Å, 90.00 90.00 108.65°
Atoms (fractional coordinates):
Cd 0.000 0.000 0.000
Co 0.000 0.500 0.500
Co 0.500 0.000 0.500
Cl 0.500 0.500 0.000

***

--- y ---
Computed, not measured: crystalline CdCo2Cl at its relaxed geometry at the PBE level of DFT.

Output
**Magnetization**: 3.37 μB/f.u.
**Volume**: 16.2 A^3/atom
**Space-group type**: I-4m2, No. 119

Cell: 5.338 5.338 5.338 Å, 138.97 138.97 59.42°
Atoms (fractional coordinates):
Cd 0.000 0.000 0.000
Co 0.500 0.500 0.000
Co 0.750 0.250 0.500
Cl 0.250 0.750 0.500

***

--- z ---
Computed, not measured: crystalline CdCo2Cl at its relaxed geometry at the PBE level of DFT.

Output
**Magnetization**: 3.83 μB/f.u.
**Volume**: 19.6 A^3/atom
**Space-group type**: Imm2, No. 44

Cell: 6.212 6.212 6.212 Å, 151.98 135.52 53.40°
Atoms (fractional coordinates):
Cd 0.000 0.000 0.000
Co 0.460 0.460 0.000
Co 0.612 0.112 0.500
Cl 0.288 0.788 0.500

***

It is z that is most stable; the runner-up trails by 229 meV/atom.

***

--- w ---
Computed, not measured: crystalline CdCo2Cl at its relaxed geometry at the PBE level of DFT.

Output
**Magnetization**: 3.53 μB/f.u.
**Volume**: 18.7 A^3/atom
**Space-group type**: P2/m, No. 10

Cell: 4.146 2.954 6.116 Å, 90.00 90.12 90.00°
Atoms (fractional coordinates):
Cd 0.000 0.000 0.000
Co 0.499 0.500 0.818
Co 0.501 0.500 0.182
Cl 0.500 0.000 0.500

***

--- x ---
Computed, not measured: crystalline CdCo2Cl at its relaxed geometry at the PBE level of DFT.

Output
**Magnetization**: 1.00 μB/f.u.
**Volume**: 17.9 A^3/atom
**Space-group type**: I-42d, No. 122

Cell: 7.732 7.732 7.732 Å, 146.13 146.13 48.65°
Atoms (fractional coordinates):
Cd 0.000 0.000 0.000
Cd 0.750 0.250 0.500
Co 0.278 0.625 0.153
Co 0.375 0.528 0.653
Co 0.472 0.125 0.847
Co 0.875 0.722 0.347
Cl 0.250 0.750 0.500
Cl 0.500 0.500 0.000

***

--- y ---
Computed, not measured: crystalline CdCo2Cl at its relaxed geometry at the PBE level of DFT.

Output
**Magnetization**: 3.60 μB/f.u.
**Volume**: 16.7 A^3/atom
**Space-group type**: I4/mmm, No. 139

Cell: 5.397 5.397 5.397 Å, 139.14 139.14 59.16°
Atoms (fractional coordinates):
Cd 0.000 0.000 0.000
Co 0.250 0.750 0.500
Co 0.750 0.250 0.500
Cl 0.500 0.500 0.000

***

--- z ---
Computed, not measured: crystalline CdCo2Cl at its relaxed geometry at the PBE level of DFT.

Output
**Magnetization**: 3.51 μB/f.u.
**Volume**: 16.4 A^3/atom
**Space-group type**: P4mm, No. 99

Cell: 2.969 2.969 7.459 Å, 90.00 90.00 90.00°
Atoms (fractional coordinates):
Cd 0.000 0.000 0.000
Co 0.000 0.000 0.585
Co 0.500 0.500 0.762
Cl 0.500 0.500 0.380

***

It is z that is most stable; the runner-up trails by 77 meV/atom.

***

--- w ---
Computed, not measured: crystalline CdCo3Cl at its relaxed geometry at the PBE level of DFT.

Output
**Magnetization**: 2.03 μB/f.u.
**Volume**: 14.3 A^3/atom
**Space-group type**: Pm-3m, No. 221

Cell: 4.149 4.149 4.149 Å, 90.00 90.00 90.00°
Atoms (fractional coordinates):
Cd 0.000 0.000 0.000
Co 0.000 0.500 0.500
Co 0.500 0.000 0.500
Co 0.500 0.500 0.000
Cl 0.500 0.500 0.500

***

--- x ---
Computed, not measured: crystalline CdCo3Cl at its relaxed geometry at the PBE level of DFT.

Output
**Magnetization**: 5.71 μB/f.u.
**Volume**: 22.8 A^3/atom
**Space-group type**: Pm-3m, No. 221

Cell: 4.850 4.850 4.850 Å, 90.00 90.00 90.00°
Atoms (fractional coordinates):
Cd 0.000 0.000 0.000
Co 0.000 0.000 0.500
Co 0.000 0.500 0.000
Co 0.500 0.000 0.000
Cl 0.500 0.500 0.500

***

It is w that is most stable; the runner-up trails by 953 meV/atom.

***

--- w ---
Computed, not measured: crystalline CdCoN2Cl at its relaxed geometry at the PBE level of DFT.

Output
**Magnetization**: 0.00 μB/f.u.
**Volume**: 14.9 A^3/atom
**Space-group type**: P4/mmm, No. 123

Cell: 3.615 3.615 5.717 Å, 90.00 90.00 90.00°
Atoms (fractional coordinates):
Cd 0.000 0.000 0.000
Co 0.000 0.000 0.500
N 0.000 0.500 0.500
N 0.500 0.000 0.500
Cl 0.500 0.500 0.000

***

--- x ---
Computed, not measured: crystalline CdCoN2Cl at its relaxed geometry at the PBE level of DFT.

Output
**Magnetization**: 2.46 μB/f.u.
**Volume**: 14.2 A^3/atom
**Space-group type**: P4/mmm, No. 123

Cell: 4.174 4.174 4.082 Å, 90.00 90.00 90.00°
Atoms (fractional coordinates):
Cd 0.000 0.000 0.000
Co 0.500 0.500 0.000
N 0.000 0.500 0.500
N 0.500 0.000 0.500
Cl 0.500 0.500 0.500

***

It is w that is most stable; the runner-up trails by 1378 meV/atom.

***

--- w ---
Computed, not measured: crystalline CdCoP2Cl at its relaxed geometry at the PBE level of DFT.

Output
**Magnetization**: 2.86 μB/f.u.
**Volume**: 25.3 A^3/atom
**Space-group type**: P4/mmm, No. 123

Cell: 4.937 4.937 5.195 Å, 90.00 90.00 90.00°
Atoms (fractional coordinates):
Cd 0.000 0.000 0.000
Co 0.500 0.500 0.500
P 0.000 0.500 0.000
P 0.500 0.000 0.000
Cl 0.000 0.000 0.500

***

--- x ---
Computed, not measured: crystalline CdCoP2Cl at its relaxed geometry at the PBE level of DFT.

Output
**Magnetization**: 0.00 μB/f.u.
**Volume**: 24.0 A^3/atom
**Space-group type**: P4/mmm, No. 123

Cell: 4.120 4.120 7.074 Å, 90.00 90.00 90.00°
Atoms (fractional coordinates):
Cd 0.000 0.000 0.000
Co 0.500 0.500 0.500
P 0.000 0.500 0.500
P 0.500 0.000 0.500
Cl 0.500 0.500 0.000

***

It is x that is most stable; the runner-up trails by 1149 meV/atom.